{
  "formula": "TaHgSb2",
  "functional": "PBEsol",
  "state": "optimized geometry",
  "lattice_angstrom": [[-3.085, -1.897, -0.035], [1.863, -3.042, 0.630], [-0.656, 0.951, 6.528]],
  "species": ["Sb", "Hg", "Ta", "Sb"],
  "frac_coords": [[0.000, 0.000, 0.277], [0.500, 0.500, 0.000], [0.500, 0.500, 0.500], [0.000, 0.000, 0.723]],
  "final_energy_ev_per_fu": -21.83,
  "formation_energy_uncorrected_ev_per_fu": 0.40,
  "total_magnetization_mub_per_cell": 0.00
}